#1
{
  "formula": "SrCo2Rh2",
  "functional": "PBE",
  "state": "relaxed",
  "spacegroup": "No. 127",
  "dos_at_fermi_per_ev_cell": 11.35,
  "magnetic_moment_mub_per_fu": 4.5,
  "lattice": [[-0.5155, 5.5910, 5.1045], [-6.9936, 1.6075, -2.4669], [-1.0654, -1.7906, 1.8537]],
  "species": ["Co", "Co", "Co", "Co", "Sr", "Sr", "Rh", "Rh", "Rh", "Rh"],
  "fractional_positions": [[0.3340, 0.1660, 0.5000], [0.6660, 0.8340, 0.5000], [0.1660, 0.6660, 0.5000], [0.8340, 0.3340, 0.5000], [0.0000, 0.0000, 0.0000], [0.5000, 0.5000, 0.0000], [0.1261, 0.3739, 0.0000], [0.3739, 0.8739, 0.0000], [0.6261, 0.1261, 0.0000], [0.8739, 0.6261, 0.0000]]
}

***

#2
{
  "formula": "SrCo2Rh2",
  "functional": "PBE",
  "state": "relaxed",
  "spacegroup": "No. 139",
  "dos_at_fermi_per_ev_cell": 5.56,
  "magnetic_moment_mub_per_fu": 5.3,
  "lattice": [[-3.4902, 1.8416, -1.6460], [-1.8477, -3.8376, -0.3758], [-4.5299, -0.5388, 3.4488]],
  "species": ["Co", "Co", "Rh", "Rh", "Sr"],
  "fractional_positions": [[0.3799, 0.3799, 0.2403], [0.6201, 0.6201, 0.7597], [0.7500, 0.2500, 0.5000], [0.2500, 0.7500, 0.5000], [0.0000, 0.0000, 0.0000]]
}

***

The structure with the least stability is #1.

***

#1
{
  "formula": "SrCo2Rh2",
  "functional": "PBE",
  "state": "relaxed",
  "spacegroup": "No. 127",
  "dos_at_fermi_per_ev_cell": 9.33,
  "magnetic_moment_mub_per_fu": 4.7,
  "lattice": [[-0.4550, -4.1914, 6.3086], [5.7456, -4.3089, -2.4483], [1.8145, 1.7025, 1.2620]],
  "species": ["Rh", "Rh", "Rh", "Rh", "Sr", "Sr", "Co", "Co", "Co", "Co"],
  "fractional_positions": [[0.3288, 0.1712, 0.5000], [0.6712, 0.8288, 0.5000], [0.1712, 0.6712, 0.5000], [0.8288, 0.3288, 0.5000], [0.5000, 0.5000, 0.0000], [0.0000, 0.0000, 0.0000], [0.8861, 0.6139, 0.0000], [0.6139, 0.1139, 0.0000], [0.1139, 0.3861, 0.0000], [0.3861, 0.8861, 0.0000]]
}

***

#2
{
  "formula": "SrCo2Rh2",
  "functional": "PBE",
  "state": "relaxed",
  "spacegroup": "No. 139",
  "dos_at_fermi_per_ev_cell": 7.01,
  "magnetic_moment_mub_per_fu": 4.9,
  "lattice": [[4.2643, 0.0000, 0.0000], [0.0000, 4.2643, 0.0000], [2.1322, 2.1322, 5.0029]],
  "species": ["Co", "Co", "Rh", "Rh", "Sr"],
  "fractional_positions": [[0.2500, 0.7500, 0.5000], [0.7500, 0.2500, 0.5000], [0.6300, 0.6300, 0.7400], [0.3700, 0.3700, 0.2600], [0.0000, 0.0000, 0.0000]]
}

***

The structure with the least stability is #1.